#a
This record from Alexandria via LeMat-Bulk describes a geometry-optimized Li3YCr structure. The functional is PBE.

Computed properties:
The magnetization comes out at 4.10 μB per cell. The calculation puts the calculated density at 2.4 g/cm³. The calculation puts the density of states at the Fermi level at 3.48 states/eV per cell.

Cell lengths 4.8357, 4.8357, 4.8357 Å; angles 90.00, 90.00, 90.00 degrees
Space group Pm-3m (No. 221)
One atom of each set of equivalent atoms:
Li (0.0000, 0.0000, 0.5000) x3
Y (0.5000, 0.5000, 0.5000) x1
Cr (0.0000, 0.0000, 0.0000) x1

#b
This record from Alexandria via LeMat-Bulk describes a geometry-optimized Li3YCr structure. The functional is PBE.

Computed properties:
The magnetization comes out at 0.00 μB per cell. The calculation puts the calculated density at 2.6 g/cm³. The calculation puts the density of states at the Fermi level at 0.60 states/eV per cell.

Cell lengths 4.6804, 4.6804, 4.6804 Å; angles 90.00, 90.00, 90.00 degrees
Space group Pm-3m (No. 221)
One atom of each set of equivalent atoms:
Li (0.0000, 0.0000, 0.5000) x3
Y (0.0000, 0.0000, 0.0000) x1
Cr (0.5000, 0.5000, 0.5000) x1

Most favorable first, least favorable last: #a, #b

#a
This record from Alexandria via LeMat-Bulk describes a geometry-optimized LiYCr2 structure. The functional is PBE.

Computed properties:
The magnetization comes out at 0.79 μB per cell. The calculation puts the calculated density at 4.5 g/cm³. The calculation puts the density of states at the Fermi level at 6.92 states/eV per cell.

Cell lengths 4.6934, 4.6934, 6.6231 Å; angles 90.00, 90.00, 90.00 degrees
Space group I-4m2 (No. 119)
One atom of each set of equivalent atoms:
Li (0.0000, 0.0000, 0.0000) x2
Y (0.0000, 0.5000, 0.2500) x2
Cr (0.0000, 0.0000, 0.5000) x2
Cr (0.0000, 0.5000, 0.7500) x2

#b
This record from Alexandria via LeMat-Bulk describes a geometry-optimized LiYCr2 structure. The functional is PBE.

Computed properties:
The magnetization comes out at 0.00 μB per cell. The calculation puts the calculated density at 4.3 g/cm³. The calculation puts the density of states at the Fermi level at 19.22 states/eV per cell.

Cell lengths 4.0579, 4.0579, 18.7997 Å; angles 90.00, 90.00, 90.00 degrees
Space group I-42d (No. 122)
One atom of each set of equivalent atoms:
Li (0.0000, 0.0000, 0.0000) x4
Y (0.0000, 0.0000, 0.5000) x4
Cr (0.0194, 0.2500, 0.1250) x8

Most favorable first, least favorable last: #a, #b

#a
This record from Alexandria via LeMat-Bulk describes a geometry-optimized LiYCr2 structure. The functional is PBE.

Computed properties:
The magnetization comes out at 0.11 μB per cell. The calculation puts the calculated density at 4.3 g/cm³. The calculation puts the density of states at the Fermi level at 6.66 states/eV per cell.

Cell lengths 4.3022, 4.3022, 14.4703 Å; angles 90.00, 90.00, 120.00 degrees
Space group R3m (No. 160, hexagonal axes)
One atom of each set of equivalent atoms:
Li (0.0000, 0.0000, 0.0000) x3
Y (0.0000, 0.0000, 0.2173) x3
Cr (0.0000, 0.0000, 0.4313) x3
Cr (0.0000, 0.0000, 0.7437) x3

#b
This record from Alexandria via LeMat-Bulk describes a geometry-optimized LiYCr2 structure. The functional is PBE.

Computed properties:
The magnetization comes out at 0.01 μB per cell. The calculation puts the calculated density at 4.6 g/cm³. The calculation puts the density of states at the Fermi level at 16.26 states/eV per cell.

Cell lengths 3.0384, 3.0384, 27.0807 Å; angles 90.00, 90.00, 120.00 degrees
Space group R3m (No. 160, hexagonal axes)
One atom of each set of equivalent atoms:
Li (0.0000, 0.0000, 0.0000) x3
Y (0.0000, 0.0000, 0.7729) x3
Cr (0.0000, 0.0000, 0.2515) x3
Cr (0.0000, 0.0000, 0.5328) x3

#c
This record from Alexandria via LeMat-Bulk describes a geometry-optimized LiYCr2 structure. The functional is PBE.

Computed properties:
The magnetization comes out at 0.00 μB per cell. The calculation puts the calculated density at 5.1 g/cm³. The calculation puts the density of states at the Fermi level at 5.10 states/eV per cell.

Cell lengths 2.6799, 2.6799, 9.0758 Å; angles 90.00, 90.00, 90.00 degrees
Space group P4/mmm (No. 123)
One atom of each set of equivalent atoms:
Li (0.0000, 0.0000, 0.0000) x1
Y (0.0000, 0.0000, 0.5000) x1
Cr (0.5000, 0.5000, 0.2349) x2

#d
This record from Alexandria via LeMat-Bulk describes a geometry-optimized LiYCr2 structure. The functional is PBE.

Computed properties:
The magnetization comes out at 0.00 μB per cell. The calculation puts the calculated density at 4.8 g/cm³. The calculation puts the density of states at the Fermi level at 4.72 states/eV per cell.

Cell lengths 3.3593, 3.3873, 6.0618 Å; angles 90.00, 90.00, 90.00 degrees
Space group Pmmm (No. 47)
One atom of each set of equivalent atoms:
Li (0.0000, 0.0000, 0.0000) x1
Y (0.0000, 0.0000, 0.5000) x1
Cr (0.5000, 0.5000, 0.1526) x2

Most favorable first, least favorable last: #a, #b, #d, #c

#a
This record from Alexandria via LeMat-Bulk describes a geometry-optimized LiYCr2 structure. The functional is PBE.

Computed properties:
The magnetization comes out at 0.00 μB per cell. The calculation puts the calculated density at 5.2 g/cm³. The calculation puts the density of states at the Fermi level at 4.36 states/eV per cell.

Cell lengths 3.6762, 3.6762, 4.6914 Å; angles 90.00, 90.00, 90.00 degrees
Space group P4/mmm (No. 123)
One atom of each set of equivalent atoms:
Li (0.0000, 0.0000, 0.0000) x1
Y (0.5000, 0.5000, 0.0000) x1
Cr (0.0000, 0.5000, 0.5000) x2

#b
This record from Alexandria via LeMat-Bulk describes a geometry-optimized LiYCr2 structure. The functional is PBE.

Computed properties:
The magnetization comes out at 7.89 μB per cell. The calculation puts the calculated density at 4.1 g/cm³. The calculation puts the density of states at the Fermi level at 2.49 states/eV per cell.

Cell lengths 4.4489, 4.4489, 4.1099 Å; angles 90.00, 90.00, 90.00 degrees
Space group P4/mmm (No. 123)
One atom of each set of equivalent atoms:
Li (0.0000, 0.0000, 0.0000) x1
Y (0.5000, 0.5000, 0.0000) x1
Cr (0.0000, 0.5000, 0.5000) x2

#c
This record from Alexandria via LeMat-Bulk describes a geometry-optimized LiYCr2 structure. The functional is PBE.

Computed properties:
The magnetization comes out at 31.74 μB per cell. The calculation puts the calculated density at 4.1 g/cm³. The calculation puts the density of states at the Fermi level at 8.56 states/eV per cell.

Cell lengths 6.8448, 6.8448, 6.8448 Å; angles 90.00, 90.00, 90.00 degrees
Space group Fm-3m (No. 225)
One atom of each set of equivalent atoms:
Li (0.0000, 0.0000, 0.0000) x4
Y (0.0000, 0.0000, 0.5000) x4
Cr (0.2500, 0.2500, 0.2500) x8

Most favorable first, least favorable last: #b, #c, #a

#a
This record from Alexandria via LeMat-Bulk describes a geometry-optimized Li2YCr2 structure. The functional is PBE.

Computed properties:
The magnetization comes out at 1.57 μB per cell. The calculation puts the calculated density at 4.2 g/cm³. The calculation puts the density of states at the Fermi level at 12.00 states/eV per cell.

Cell lengths 3.3896, 3.3896, 14.3788 Å; angles 90.00, 90.00, 90.00 degrees
Space group I4/mmm (No. 139)
One atom of each set of equivalent atoms:
Li (0.0000, 0.0000, 0.1146) x4
Y (0.0000, 0.0000, 0.5000) x2
Cr (0.0000, 0.5000, 0.2500) x4

#b
This record from Alexandria via LeMat-Bulk describes a geometry-optimized Li2YCr2 structure. The functional is PBE.

Computed properties:
The magnetization comes out at 3.18 μB per cell. The calculation puts the calculated density at 4.0 g/cm³. The calculation puts the density of states at the Fermi level at 10.67 states/eV per cell.

Cell lengths 7.7975, 7.7975, 2.8153 Å; angles 90.00, 90.00, 90.00 degrees
Space group P4/mbm (No. 127)
One atom of each set of equivalent atoms:
Li (0.1975, 0.3025, 0.0000) x4
Y (0.0000, 0.0000, 0.0000) x2
Cr (0.0854, 0.5854, 0.5000) x4

Most favorable first, least favorable last: #b, #a

#a
This record from Alexandria via LeMat-Bulk describes a geometry-optimized Li2ZrCr2 structure. The functional is PBE.

Computed properties:
The magnetization comes out at 0.00 μB per cell. The calculation puts the calculated density at 4.6 g/cm³. The calculation puts the density of states at the Fermi level at 9.89 states/eV per cell.

Cell lengths 7.5118, 7.5118, 2.6799 Å; angles 90.00, 90.00, 90.00 degrees
Space group P4/mbm (No. 127)
One atom of each set of equivalent atoms:
Li (0.1978, 0.3022, 0.0000) x4
Zr (0.0000, 0.0000, 0.5000) x2
Cr (0.0901, 0.5901, 0.5000) x4

#b
This record from Alexandria via LeMat-Bulk describes a geometry-optimized Li2ZrCr2 structure. The functional is PBE.

Computed properties:
The magnetization comes out at 0.00 μB per cell. The calculation puts the calculated density at 4.2 g/cm³. The calculation puts the density of states at the Fermi level at 9.07 states/eV per cell.

Cell lengths 3.7049, 3.7049, 11.9368 Å; angles 90.00, 90.00, 90.00 degrees
Space group I4/mmm (No. 139)
One atom of each set of equivalent atoms:
Li (0.0000, 0.5000, 0.2500) x4
Zr (0.0000, 0.0000, 0.0000) x2
Cr (0.0000, 0.0000, 0.4186) x4

Most favorable first, least favorable last: #b, #a

#a
This record from Alexandria via LeMat-Bulk describes a geometry-optimized Lu2ZnCr structure. The functional is PBE.

Computed properties:
The magnetization comes out at 14.17 μB per cell. The calculation puts the calculated density at 9.1 g/cm³. The calculation puts the density of states at the Fermi level at 8.37 states/eV per cell.

Cell lengths 6.9872, 6.9872, 6.9872 Å; angles 90.00, 90.00, 90.00 degrees
Space group Fm-3m (No. 225)
One atom of each set of equivalent atoms:
Lu (0.2500, 0.2500, 0.2500) x8
Zn (0.0000, 0.0000, 0.0000) x4
Cr (0.0000, 0.0000, 0.5000) x4

#b
This record from Alexandria via LeMat-Bulk describes a geometry-optimized Lu2ZnCr structure. The functional is PBE.

Computed properties:
The magnetization comes out at 2.77 μB per cell. The calculation puts the calculated density at 9.2 g/cm³. The calculation puts the density of states at the Fermi level at 3.15 states/eV per cell.

Cell lengths 3.3800, 3.3800, 7.3436 Å; angles 90.00, 90.00, 90.00 degrees
Space group P4/mmm (No. 123)
One atom of each set of equivalent atoms:
Lu (0.0000, 0.0000, 0.2389) x2
Zn (0.5000, 0.5000, 0.5000) x1
Cr (0.5000, 0.5000, 0.0000) x1

Most favorable first, least favorable last: #b, #a

#a
This record from Alexandria via LeMat-Bulk describes a geometry-optimized MgCr2 structure. The functional is PBE.

Computed properties:
The magnetization comes out at 33.96 μB per cell. The calculation puts the calculated density at 3.6 g/cm³. The calculation puts the density of states at the Fermi level at 11.87 states/eV per cell.

Cell lengths 6.5323, 6.5323, 5.5911 Å; angles 90.00, 90.00, 90.00 degrees
Space group I4/mcm (No. 140)
One atom of each set of equivalent atoms:
Mg (0.0000, 0.0000, 0.2500) x4
Cr (0.1533, 0.3467, 0.0000) x8

#b
This record from Alexandria via LeMat-Bulk describes a geometry-optimized MgCr2 structure. The functional is PBE.

Computed properties:
The magnetization comes out at 0.22 μB per cell. The calculation puts the calculated density at 4.3 g/cm³. The calculation puts the density of states at the Fermi level at 4.48 states/eV per cell.

Cell lengths 4.5352, 4.5352, 5.5826 Å; angles 90.00, 90.00, 120.00 degrees
Space group P6_3/mmc (No. 194)
One atom of each set of equivalent atoms:
Mg (0.3333, 0.6667, 0.2500) x2
Cr (0.0000, 0.0000, 0.0000) x2
Cr (0.3333, 0.6667, 0.7500) x2

Most favorable first, least favorable last: #b, #a